## Zn4Pd2Cl (PBE)

Data for a relaxed structure of Zn4Pd2Cl.

Lattice parameters (Å, degrees): 4.8243 4.8243 13.1941 90.00 90.00 90.00
Closest atoms and distances in Å follow each position.
Space group I4/mmm (No. 139)
One atom of each set of equivalent atoms:
Zn: 0.0000 0.0000 0.2159 x4  1 Pd 2.44
Zn: 0.0000 0.5000 0.0000 x4  2 Cl 2.41
Pd: 0.0000 0.0000 0.4012 x4  1 Zn 2.44, 1 Pd 2.61
Cl: 0.0000 0.0000 0.0000 x2  4 Zn 2.41

Output
Total magnetic moment (Bohr magnetons per cell): 0.0
Formation energy from raw total energies (eV/atom): 0.22
Energy (eV for the cell shown): -31.6
DOS(E_F) (states/eV per atom): 0.361
Mass density (g/cm3): 5.515